Run 1
PtAu2: optimized geometry, PBEsol. Values from VASP.

Symmetry   P-62m (189)

Cell and atoms, written as Quantum ESPRESSO input:
```
&SYSTEM
  ibrav = 0, nat = 9, ntyp = 2
/
ATOMIC_SPECIES
Au 196.97 Au.upf
Pt 195.08 Pt.upf
CELL_PARAMETERS angstrom
-0.8508 2.6097 0.4379
-3.4915 -2.2531 6.6428
7.4544 2.4110 0.1148
ATOMIC_POSITIONS crystal
Au 0.5000 0.6373 0.0000
Pt 0.5000 0.0000 0.0000
Au 0.0000 0.3058 0.0000
Pt 0.0000 0.6667 0.3333
Au 0.0000 0.0000 0.3058
Pt 0.0000 0.3333 0.6667
Au 0.0000 0.6942 0.6942
Au 0.5000 0.3627 0.3627
Au 0.5000 0.0000 0.6373
```

Run 2
PtAu2: optimized geometry, PBEsol. Values from VASP.

Symmetry   P6_3/mmc (194)

Cell and atoms, written as Quantum ESPRESSO input:
```
&SYSTEM
  ibrav = 0, nat = 6, ntyp = 2
/
ATOMIC_SPECIES
Au 196.97 Au.upf
Pt 195.08 Pt.upf
CELL_PARAMETERS angstrom
-3.0830 -1.7248 -2.9088
0.7732 -2.0698 4.0074
-3.9059 3.0521 2.3300
ATOMIC_POSITIONS crystal
Au 0.6667 0.3333 0.7500
Pt 0.6667 0.3333 0.2500
Pt 0.3333 0.6667 0.7500
Au 0.3333 0.6667 0.2500
Au 0.0000 0.0000 0.0000
Au 0.0000 0.0000 0.5000
```

Most stable pick: run 1. Distance to second place: 0.049 eV/atom.